Below is an optimized crystal structure of DyTm3Sb, with properties calculated at the PBE level.

Unit cell a=10.497 b=3.933 c=14.322 alpha=90.00 beta=90.00 gamma=90.00
Space group Pnma (No. 62)
Inequivalent atoms, fractional coordinates:
Dy (0.163, 0.250, 0.029) x4
Tm (0.086, 0.250, 0.425) x4
Tm (0.116, 0.750, 0.234) x4
Tm (0.132, 0.750, 0.818) x4
Sb (0.129, 0.250, 0.638) x4

Energy relative to the elements, uncorrected ... -0.3624 eV per atom
M_tot ... 0.317 μB per formula unit
E ... -4.790 eV/atom